Arrangement one

BaSe2BrN | GGA-PBE | optimized geometry

density of states at the Fermi level: 3.87 states/eV per cell
M_tot: 1.20 μB/atom

Structure (CIF):
```
data_BaSe2BrN
_chemical_formula_sum 'Ba1 Se2 Br1 N1'
_cell_length_a 6.526
_cell_length_b 6.526
_cell_length_c 5.373
_cell_angle_alpha 90.00
_cell_angle_beta 90.00
_cell_angle_gamma 90.00
_symmetry_space_group_name_H-M 'P 4/m m m'
_symmetry_Int_Tables_number 123
_symmetry_space_group_name_Hall '-P 4 2'
loop_
_atom_site_label
_atom_site_fract_x
_atom_site_fract_y
_atom_site_fract_z
Ba1 0.000 0.000 0.000
Se1 0.000 0.500 0.000
Br1 0.500 0.500 0.500
N1 0.000 0.000 0.500
```



Arrangement two

BaSe2BrN | GGA-PBE | optimized geometry

density of states at the Fermi level: 2.45 states/eV per cell
M_tot: 1.20 μB/atom

Structure (CIF):
```
data_BaSe2BrN
_chemical_formula_sum 'Ba1 Se2 Br1 N1'
_cell_length_a 6.657
_cell_length_b 6.657
_cell_length_c 6.303
_cell_angle_alpha 90.00
_cell_angle_beta 90.00
_cell_angle_gamma 90.00
_symmetry_space_group_name_H-M 'P 4/m m m'
_symmetry_Int_Tables_number 123
_symmetry_space_group_name_Hall '-P 4 2'
loop_
_atom_site_label
_atom_site_fract_x
_atom_site_fract_y
_atom_site_fract_z
Ba1 0.000 0.000 0.000
Se1 0.000 0.500 0.000
Br1 0.000 0.000 0.500
N1 0.500 0.500 0.500
```



Arrangement three

BaSe2BrN | GGA-PBE | optimized geometry

density of states at the Fermi level: 1.41 states/eV per cell
M_tot: 0.32 μB/atom

Structure (CIF):
```
data_BaSe2BrN
_chemical_formula_sum 'Ba1 Se2 Br1 N1'
_cell_length_a 5.513
_cell_length_b 5.513
_cell_length_c 4.247
_cell_angle_alpha 90.00
_cell_angle_beta 90.00
_cell_angle_gamma 90.00
_symmetry_space_group_name_H-M 'P 4/m m m'
_symmetry_Int_Tables_number 123
_symmetry_space_group_name_Hall '-P 4 2'
loop_
_atom_site_label
_atom_site_fract_x
_atom_site_fract_y
_atom_site_fract_z
Ba1 0.000 0.000 0.000
Se1 0.000 0.500 0.500
Br1 0.500 0.500 0.500
N1 0.500 0.500 0.000
```



Which of them is least stable? Easy: arrangement one.